Entry 1:
A plane-wave DFT calculation with PBE was carried out for a relaxed structure of Cd2Br.

a = 6.5165 Å, b = 6.5165 Å, c = 6.5165 Å
α = 127.40°, β = 127.40°, γ = 77.60°
Sites, in units of the cell vectors:
Cd: 0.6788 0.8212 0.5000
Cd: 0.1788 0.6788 0.8577
Cd: 0.3212 0.1788 0.5000
Cd: 0.8212 0.3212 0.1423
Br: 0.2500 0.2500 0.0000
Br: 0.7500 0.7500 0.0000

Output
- Formation energy (no corrections): -236.0 meV/atom
- V: 28.2 Å³/atom
- DOS(E_F): 0.42 states/eV per atom
- Crystal system: tetragonal

=====

Entry 2:
A plane-wave DFT calculation with PBE was carried out for a relaxed structure of TmSc2Hg4.

a = 6.1046 Å, b = 6.1046 Å, c = 6.1046 Å
α = 110.92°, β = 108.75°, γ = 108.75°
Sites, in units of the cell vectors:
Sc: 0.5000 0.5000 0.0000
Sc: 0.5000 0.0000 0.5000
Hg: 0.0000 0.0000 0.5000
Hg: 0.5000 0.5000 0.5000
Hg: 0.5000 0.0000 0.0000
Hg: 0.0000 0.5000 0.0000
Tm: 0.0000 0.0000 0.0000

Output
- V: 25.0 Å³/atom
- DOS(E_F): 0.41 states/eV per atom
- Crystal system: tetragonal
- Energy of formation from the pure elements: -350 meV/atom

=====

Question: Which of these has the lowest V?
Answer: TmSc2Hg4

=====

What did the first record say?
A plane-wave DFT calculation with PBE was carried out for a relaxed structure of Cd2Br.

a = 6.5165 Å, b = 6.5165 Å, c = 6.5165 Å
α = 127.40°, β = 127.40°, γ = 77.60°
Sites, in units of the cell vectors:
Cd: 0.6788 0.8212 0.5000
Cd: 0.1788 0.6788 0.8577
Cd: 0.3212 0.1788 0.5000
Cd: 0.8212 0.3212 0.1423
Br: 0.2500 0.2500 0.0000
Br: 0.7500 0.7500 0.0000

Output
- Formation energy (no corrections): -236.0 meV/atom
- V: 28.2 Å³/atom
- DOS(E_F): 0.42 states/eV per atom
- Crystal system: tetragonal

=====

What did the first record say?
A plane-wave DFT calculation with PBE was carried out for a relaxed structure of Cd2Br.

a = 6.5165 Å, b = 6.5165 Å, c = 6.5165 Å
α = 127.40°, β = 127.40°, γ = 77.60°
Sites, in units of the cell vectors:
Cd: 0.6788 0.8212 0.5000
Cd: 0.1788 0.6788 0.8577
Cd: 0.3212 0.1788 0.5000
Cd: 0.8212 0.3212 0.1423
Br: 0.2500 0.2500 0.0000
Br: 0.7500 0.7500 0.0000

Output
- Formation energy (no corrections): -236.0 meV/atom
- V: 28.2 Å³/atom
- DOS(E_F): 0.42 states/eV per atom
- Crystal system: tetragonal

=====

Question: Which of these has the highest V?
Answer: Cd2Br